No. 1
A relaxed structure of LiTaTi2Cd. Source: the Alexandria database, functional PBE.

Properties
Energy, eV/cell: -22.45
Mass density, kg/m³: 5043
Formation energy, meV/atom: 1604
Symmetry: P4/mmm, No. 123
Crystal system: tetragonal

```
5
Lattice="5.041 0.000 0.000 0.000 5.041 0.000 0.000 0.000 5.131" Properties=species:S:1:pos:R:3 pbc="T T T"
Li 0.000 0.000 0.000
Ta 2.521 2.521 0.000
Ti 0.000 2.521 2.565
Ti 2.521 0.000 2.565
Cd 2.521 2.521 2.565
```



No. 2
A relaxed structure of Hf2U2S7. Source: the Alexandria database, functional PBE.

Properties
Energy, eV/cell: -86.73
Mass density, kg/m³: 8233
Uncorrected formation energy, eV per atom: -1.40
Symmetry: Imm2, No. 44
Crystal system: orthorhombic

```
11
Lattice="-1.800 6.999 4.232 1.800 -6.999 4.232 1.800 6.999 -4.232" Properties=species:S:1:pos:R:3 pbc="T T T"
Hf 0.000 3.325 0.000
Hf 0.000 10.673 0.000
U 0.000 0.000 1.793
U 0.000 6.999 1.363
S 1.800 -1.945 1.255
S 1.800 1.945 1.255
S 1.800 5.343 -0.077
S 0.000 4.355 2.451
S 0.000 1.655 4.155
S 0.000 0.000 7.556
S 0.000 9.643 2.451
```



No. 3
A relaxed structure of Pm6PRh2Cl3. Source: the Alexandria database, functional PBE.

Properties
Energy, eV/cell: -69.30
Mass density, kg/m³: 6260
Uncorrected formation energy, eV per atom: -1.26
Symmetry: C2/m, No. 12
Crystal system: monoclinic

```
12
Lattice="3.568 -6.180 0.000 3.568 6.180 0.000 -2.348 0.000 7.297" Properties=species:S:1:pos:R:3 pbc="T T T"
Pm -0.005 2.111 5.778
Pm 1.128 0.000 1.515
Pm -0.005 -2.111 5.778
Pm 4.792 2.111 1.519
Pm 3.658 0.000 5.782
Pm 4.792 -2.111 1.519
P 3.568 0.000 0.000
Rh 3.568 4.112 0.000
Rh 3.568 -4.112 0.000
Cl -1.174 0.000 3.649
Cl 2.393 1.969 3.649
Cl 2.393 -1.969 3.649
```



No. 4
A relaxed structure of Rb3Tm3SnTe8. Source: the Alexandria database, functional PBE.

Properties
Energy, eV/cell: -61.79
Mass density, kg/m³: 5373
Uncorrected formation energy, eV per atom: -1.09
Symmetry: C2/m, No. 12
Crystal system: monoclinic

```
15
Lattice="7.624 -4.391 0.000 7.624 4.391 0.000 -5.092 0.000 8.782" Properties=species:S:1:pos:R:3 pbc="T T T"
Rb 0.000 0.000 0.000
Rb 3.812 2.196 0.000
Rb 3.812 -2.196 0.000
Tm 1.266 2.196 4.391
Tm 1.266 -2.196 4.391
Tm 5.078 0.000 4.391
Sn -2.546 0.000 4.391
Te -0.010 0.000 6.098
Te 3.810 2.201 6.096
Te 2.539 0.000 2.658
Te 6.347 2.201 2.686
Te 3.810 -2.201 6.096
Te 7.618 0.000 6.124
Te 6.347 -2.201 2.686
Te 10.167 0.000 2.685
```



No. 5
A relaxed structure of LaZn2HRh2. Source: the Alexandria database, functional PBE.

Properties
Energy, eV/cell: -28.54
Mass density, kg/m³: 8409
Symmetry: P4/mmm, No. 123
Crystal system: tetragonal

```
6
Lattice="4.216 0.000 0.000 0.000 4.216 0.000 0.000 0.000 5.294" Properties=species:S:1:pos:R:3 pbc="T T T"
La 0.000 0.000 0.000
Zn 2.108 2.108 1.231
Zn 2.108 2.108 4.062
H 0.000 0.000 2.647
Rh 0.000 2.108 2.647
Rh 2.108 0.000 2.647
```



No. 6
A relaxed structure of Ce2ThAg2Ge2. Source: the Alexandria database, functional PBE.

Properties
Energy, eV/cell: -36.74
Mass density, kg/m³: 9112
Formation energy, meV/atom: -360
Symmetry: R-3m, No. 166
Crystal system: trigonal

```
7
Lattice="2.240 1.293 9.153 -2.240 1.293 9.153 0.000 -2.587 9.153" Properties=species:S:1:pos:R:3 pbc="T T T"
Ce 0.000 0.000 3.929
Ce 0.000 0.000 23.532
Th 0.000 0.000 0.000
Ag 0.000 0.000 11.264
Ag 0.000 0.000 16.196
Ge 0.000 0.000 7.266
Ge 0.000 0.000 20.194
```



No. 7
A relaxed structure of Ba2AsP2. Source: the Alexandria database, functional PBE.

Properties
Energy, eV/cell: -45.93
Mass density, kg/m³: 4751
Offset from the most stable computed form, kJ/mol of formula units: 0
Formation energy, meV/atom: -730
Symmetry: P4/mbm, No. 127
Crystal system: tetragonal

```
10
Lattice="7.954 0.000 0.000 0.000 7.954 0.000 0.000 0.000 4.547" Properties=species:S:1:pos:R:3 pbc="T T T"
Ba 1.524 2.453 0.000
Ba 2.453 6.431 0.000
Ba 5.501 1.524 0.000
Ba 6.431 5.501 0.000
As 0.000 0.000 2.273
As 3.977 3.977 2.273
P 0.761 4.738 2.273
P 3.216 0.761 2.273
P 4.738 7.194 2.273
P 7.194 3.216 2.273
```



No. 8
A relaxed structure of Nd2P2Rh5. Source: the Alexandria database, functional PBE.

Properties
Energy, eV/cell: -63.72
Mass density, kg/m³: 7957
Offset from the most stable computed form, kJ/mol of formula units: 156
Formation energy, meV/atom: -735
Symmetry: P4/mmm, No. 123
Crystal system: tetragonal

```
9
Lattice="4.062 0.000 0.000 0.000 4.062 0.000 0.000 0.000 10.938" Properties=species:S:1:pos:R:3 pbc="T T T"
Nd 0.000 0.000 0.000
Nd 0.000 0.000 5.469
P 2.031 2.031 2.268
P 2.031 2.031 8.670
Rh 0.000 2.031 3.261
Rh 0.000 2.031 7.677
Rh 2.031 0.000 3.261
Rh 2.031 0.000 7.677
Rh 2.031 2.031 0.000
```



No. 9
A relaxed structure of Rb4Pa3GeO12. Source: the Alexandria database, functional PBE.

Properties
Energy, eV/cell: -148.36
Mass density, kg/m³: 6755
Uncorrected formation energy, eV per atom: -2.59
Symmetry: Im-3m, No. 229
Crystal system: cubic

```
20
Lattice="-4.307 4.307 4.307 4.307 -4.307 4.307 4.307 4.307 -4.307" Properties=species:S:1:pos:R:3 pbc="T T T"
Rb 2.153 2.153 -2.153
Rb 2.153 -2.153 2.153
Rb -2.153 2.153 2.153
Rb 2.153 2.153 2.153
Pa 4.307 0.000 0.000
Pa 0.000 4.307 0.000
Pa 0.000 0.000 4.307
Ge 0.000 0.000 0.000
O 2.029 0.000 0.000
O 6.584 0.000 0.000
O 0.000 2.029 0.000
O 0.000 0.000 2.029
O 4.307 2.153 0.000
O 4.307 0.000 2.153
O 2.153 4.307 0.000
O 2.153 0.000 4.307
O 0.000 4.307 2.153
O 0.000 2.153 4.307
O 0.000 6.584 0.000
O 0.000 0.000 6.584
```



No. 10
A relaxed structure of Ho2TmTh. Source: the Alexandria database, functional PBE.

Properties
Energy, eV/cell: -62.73
Mass density, kg/m³: 9734
Offset from the most stable computed form, kJ/mol of formula units: 3
Formation energy, meV/atom: 34
Symmetry: R3m, No. 160
Crystal system: trigonal

```
12
Lattice="3.543 0.000 0.000 -1.771 3.068 0.000 0.000 0.000 34.412" Properties=species:S:1:pos:R:3 pbc="T T T"
Ho 0.000 0.000 0.000
Ho 0.000 0.000 5.808
Ho 0.000 2.045 22.942
Ho 0.000 2.045 28.750
Ho 1.771 1.023 11.471
Ho 1.771 1.023 17.279
Tm 0.000 0.000 20.115
Tm 0.000 2.045 8.645
Tm 1.771 1.023 31.586
Th 0.000 0.000 25.812
Th 0.000 2.045 14.341
Th 1.771 1.023 2.870
```



No. 11
A relaxed structure of Mn2VHgH. Source: the Alexandria database, functional PBE.

Properties
Energy, eV/cell: -25.72
Mass density, kg/m³: 6756
Symmetry: P4/mmm, No. 123
Crystal system: tetragonal

```
5
Lattice="5.124 0.000 0.000 0.000 5.124 0.000 0.000 0.000 3.392" Properties=species:S:1:pos:R:3 pbc="T T T"
Mn 0.000 2.562 0.000
Mn 2.562 0.000 0.000
V 0.000 0.000 1.696
Hg 2.562 2.562 0.000
H 2.562 2.562 1.696
```



No. 12
A relaxed structure of K2ZrAl. Source: the Alexandria database, functional PBE.

Properties
Energy, eV/cell: -42.60
Mass density, kg/m³: 1666
Formation energy, meV/atom: 959
Symmetry: I-42d, No. 122
Crystal system: tetragonal

```
16
Lattice="11.945 0.000 0.000 0.000 11.945 0.000 0.000 0.000 5.487" Properties=species:S:1:pos:R:3 pbc="T T T"
K 1.524 2.986 0.686
K 2.986 7.496 2.058
K 2.986 10.421 4.802
K 4.449 2.986 3.430
K 7.496 8.959 3.430
K 8.959 1.524 4.802
K 8.959 4.449 2.058
K 10.421 8.959 0.686
Zr 0.000 0.000 2.744
Zr 0.000 5.972 4.116
Zr 5.972 0.000 1.372
Zr 5.972 5.972 0.000
Al 0.000 0.000 0.000
Al 0.000 5.972 1.372
Al 5.972 0.000 4.116
Al 5.972 5.972 2.744
```



No. 13
A relaxed structure of GaSbPbS4. Source: the Alexandria database, functional PBE.

Properties
Energy, eV/cell: -60.36
Mass density, kg/m³: 4734
Uncorrected formation energy, eV per atom: -0.40
Symmetry: P2_1/m, No. 11
Crystal system: monoclinic

```
14
Lattice="6.841 0.000 0.000 0.000 7.059 0.000 -2.469 0.000 7.655" Properties=species:S:1:pos:R:3 pbc="T T T"
Ga 0.925 1.765 2.348
Ga 3.447 5.294 5.307
Sb 0.332 5.294 4.092
Sb 4.040 1.765 3.563
Pb 1.377 5.294 0.454
Pb 2.995 1.765 7.201
S -0.427 3.556 1.947
S -0.427 7.032 1.947
S 1.744 1.765 4.519
S 2.898 1.765 1.228
S 1.474 5.294 6.427
S 2.628 5.294 3.137
S 4.799 0.027 5.708
S 4.799 3.503 5.708
```



No. 14
A relaxed structure of Li3Mg2PtO6. Source: the Alexandria database, functional PBE.

Properties
Energy, eV/cell: -66.56
Mass density, kg/m³: 5202
Uncorrected formation energy, eV per atom: -1.82
Symmetry: C2/m, No. 12
Crystal system: monoclinic

```
12
Lattice="2.610 -4.524 0.000 2.610 4.524 0.000 -1.751 0.000 4.873" Properties=species:S:1:pos:R:3 pbc="T T T"
Li 0.000 0.000 0.000
Li 2.610 1.465 0.000
Li 2.610 -1.465 0.000
Mg 1.735 3.010 2.437
Mg 1.735 -3.010 2.437
Pt 1.735 0.000 2.437
O 0.895 1.458 1.301
O 0.050 0.000 3.559
O 0.895 -1.458 1.301
O 2.575 1.458 3.573
O 3.419 0.000 1.314
O 2.575 -1.458 3.573
```



No. 15
A relaxed structure of TlSb2Cl. Source: the Alexandria database, functional PBE.

Properties
Energy, eV/cell: -24.65
Mass density, kg/m³: 7514
Uncorrected formation energy, eV per atom: 0.03
Offset from the most stable computed form, kJ/mol of formula units: 169
Symmetry: Cmmm, No. 65
Crystal system: orthorhombic

```
8
Lattice="3.427 0.000 0.000 0.000 5.924 0.000 0.000 0.000 10.525" Properties=species:S:1:pos:R:3 pbc="T T T"
Tl 0.000 0.000 0.000
Tl 1.713 2.962 0.000
Sb 0.000 2.962 2.840
Sb 0.000 2.962 7.685
Sb 1.713 0.000 2.840
Sb 1.713 0.000 7.685
Cl 0.000 0.000 5.262
Cl 1.713 2.962 5.262
```



No. 16
A relaxed structure of LiNd2ZrS4. Source: the Alexandria database, functional PBE.

Properties
Energy, eV/cell: -50.48
Mass density, kg/m³: 5133
Uncorrected formation energy, eV per atom: -1.75
Symmetry: P2/m, No. 10
Crystal system: monoclinic

```
8
Lattice="6.622 0.000 0.000 0.000 3.904 0.000 -2.255 0.000 6.442" Properties=species:S:1:pos:R:3 pbc="T T T"
Li 0.000 0.000 0.000
Nd 2.184 0.000 3.221
Nd 3.311 1.952 0.000
Zr -1.127 1.952 3.221
S -0.209 0.000 4.797
S 0.938 1.952 1.564
S 3.430 1.952 4.879
S 4.577 0.000 1.645
```



No. 17
A relaxed structure of TcTeRu2. Source: the Alexandria database, functional PBE.

Properties
Energy, eV/cell: -60.54
Mass density, kg/m³: 11226
Uncorrected formation energy, eV per atom: 0.45
Symmetry: Cmmm, No. 65
Crystal system: orthorhombic

```
8
Lattice="5.775 0.000 0.000 0.000 7.397 0.000 0.000 0.000 2.962" Properties=species:S:1:pos:R:3 pbc="T T T"
Tc 0.000 0.000 0.000
Tc 2.888 3.699 0.000
Te 0.000 3.699 0.000
Te 2.888 0.000 0.000
Ru 1.444 1.849 1.481
Ru 1.444 5.548 1.481
Ru 4.332 1.849 1.481
Ru 4.332 5.548 1.481
```



No. 18
A relaxed structure of SrB12Pb. Source: the Alexandria database, functional PBE.

Properties
Energy, eV/cell: -87.87
Mass density, kg/m³: 4716
Formation energy, meV/atom: -168
Symmetry: Fm-3m, No. 225
Crystal system: cubic

```
14
Lattice="0.000 4.212 4.212 4.212 0.000 4.212 4.212 4.212 0.000" Properties=species:S:1:pos:R:3 pbc="T T T"
Sr 0.000 0.000 0.000
B 2.106 2.106 0.856
B 2.106 0.856 2.106
B 3.356 2.106 2.106
B 0.856 2.106 2.106
B 2.106 3.356 2.106
B 2.106 2.106 3.356
B 6.318 6.318 5.068
B 6.318 5.068 6.318
B 7.569 6.318 6.318
B 5.068 6.318 6.318
B 6.318 7.569 6.318
B 6.318 6.318 7.569
Pb 4.212 4.212 4.212
```



No. 19
A relaxed structure of RbFe2H. Source: the Alexandria database, functional PBE.

Properties
Energy, eV/cell: -36.19
Mass density, kg/m³: 5072
Offset from the most stable computed form, kJ/mol of formula units: 0
Symmetry: Fd-3m, No. 227
Crystal system: cubic

```
8
Lattice="0.000 4.018 4.018 4.018 0.000 4.018 4.018 4.018 0.000" Properties=species:S:1:pos:R:3 pbc="T T T"
Rb 1.005 1.005 1.005
Rb 7.032 7.032 7.032
Fe 4.018 2.009 2.009
Fe 2.009 4.018 2.009
Fe 2.009 2.009 4.018
Fe 4.018 4.018 4.018
H 3.014 3.014 3.014
H 5.023 5.023 5.023
```



No. 20
A relaxed structure of Ac5Nd2Dy4. Source: the Alexandria database, functional PBE.

Properties
Energy, eV/cell: -47.08
Mass density, kg/m³: 8030
Formation energy, meV/atom: 128
Symmetry: C2/m, No. 12
Crystal system: monoclinic

```
11
Lattice="12.686 -1.880 0.000 12.686 1.880 0.000 -0.919 0.000 8.987" Properties=species:S:1:pos:R:3 pbc="T T T"
Ac 0.000 0.000 0.000
Ac 7.590 0.000 4.707
Ac 8.409 0.000 8.566
Ac 16.044 0.000 0.421
Ac 16.863 0.000 4.280
Nd 1.525 0.000 6.182
Nd 22.928 0.000 2.805
Dy 4.968 0.000 7.455
Dy 11.145 0.000 5.857
Dy 13.307 0.000 3.130
Dy 19.485 0.000 1.532
```



No. 21
A relaxed structure of Ti2VOs. Source: the Alexandria database, functional PBE.

Properties
Energy, eV/cell: -140.15
Mass density, kg/m³: 8674
Formation energy, meV/atom: 275
Symmetry: I-42d, No. 122
Crystal system: tetragonal

```
16
Lattice="6.988 0.000 0.000 0.000 6.988 0.000 0.000 0.000 5.282" Properties=species:S:1:pos:R:3 pbc="T T T"
Ti 1.638 5.241 0.660
Ti 1.747 1.638 4.622
Ti 1.747 1.856 1.981
Ti 1.856 5.241 3.302
Ti 5.133 1.747 3.302
Ti 5.241 5.133 1.981
Ti 5.241 5.350 4.622
Ti 5.350 1.747 0.660
V 0.000 0.000 2.641
V 0.000 3.494 3.962
V 3.494 0.000 1.321
V 3.494 3.494 0.000
Os 0.000 0.000 0.000
Os 0.000 3.494 1.321
Os 3.494 0.000 3.962
Os 3.494 3.494 2.641
```



No. 22
A relaxed structure of MgFeSeBr2. Source: the Alexandria database, functional PBE.

Properties
Energy, eV/cell: -17.05
Mass density, kg/m³: 4584
Uncorrected formation energy, eV per atom: -0.03
Offset from the most stable computed form, kJ/mol of formula units: 0
Symmetry: P4/mmm, No. 123
Crystal system: tetragonal

```
5
Lattice="5.007 0.000 0.000 0.000 5.007 0.000 0.000 0.000 4.609" Properties=species:S:1:pos:R:3 pbc="T T T"
Mg 0.000 0.000 0.000
Fe 2.503 2.503 2.304
Se 2.503 2.503 0.000
Br 0.000 2.503 2.304
Br 2.503 0.000 2.304
```



No. 23
A relaxed structure of KTa2Si. Source: the Alexandria database, functional PBE.

Properties
Energy, eV/cell: -25.77
Mass density, kg/m³: 8900
Uncorrected formation energy, eV per atom: 1.11
Symmetry: Pmmm, No. 47
Crystal system: orthorhombic

```
4
Lattice="2.781 0.000 0.000 0.000 5.205 0.000 0.000 0.000 5.530" Properties=species:S:1:pos:R:3 pbc="T T T"
K 0.000 0.000 0.000
Ta 0.000 2.602 2.765
Ta 1.391 2.602 0.000
Si 1.391 0.000 2.765
```



No. 24
A relaxed structure of TiFeRe2. Source: the Alexandria database, functional PBE.

Properties
Energy, eV/cell: -41.24
Mass density, kg/m³: 13716
Formation energy, meV/atom: 3
Symmetry: P4/mmm, No. 123
Crystal system: tetragonal

```
4
Lattice="3.731 0.000 0.000 0.000 3.731 0.000 0.000 0.000 4.140" Properties=species:S:1:pos:R:3 pbc="T T T"
Ti 0.000 0.000 0.000
Fe 1.866 1.866 0.000
Re 0.000 1.866 2.070
Re 1.866 0.000 2.070
```